No. 1
Computed, not measured: a geometry-optimized TaInCo2 structure at the PBEsol level of DFT.

Cell: 3.250 3.250 5.583 Å, 90.00 90.00 90.00°
Each line ends with the local moment (μB).
Atoms (fractional coordinates):
Co1 0.000 0.000 0.978  -0.11
Co2 0.500 0.500 0.238  0.62
Ta1 0.500 0.500 0.819  -0.01
In1 0.000 0.000 0.464  -0.01

ΔE_f ... 0.118 eV per atom
Density ... 11.6 Mg/m³

No. 2
Computed, not measured: a geometry-optimized TaInSbI2 structure at the PBEsol level of DFT.

Cell: 5.362 5.536 5.536 Å, 90.00 90.00 90.00°
Atoms (fractional coordinates):
In1 0.500 0.500 0.500
Sb1 0.500 0.000 0.000
I1 0.000 0.500 0.000
I2 0.000 0.000 0.500
Ta1 0.000 0.000 0.000

Energy relative to the elements, uncorrected ... 0.29 eV per atom
Density ... 6.8 Mg/m³